No. 1
Here is crystalline Dy4ZnTe2S at its relaxed geometry from the Alexandria database. Energies are from PBE.

Results
- formation energy (no corrections) (meV per atom) = -1219

POSCAR file:
```
Dy4ZnTe2S
1.0
4.068 0.000 0.000
0.000 7.273 0.192
0.000 -2.480 7.007
Dy Zn Te S
4 1 2 1
Cartesian
2.034 1.181 1.548
2.034 3.612 5.651
0.000 -0.032 5.481
0.000 4.826 1.718
2.034 3.637 0.096
2.034 -1.240 3.504
0.000 2.397 3.600
0.000 0.000 0.000
```



No. 2
Here is crystalline DyTh2S3 at its relaxed geometry from the Alexandria database. Energies are from PBE.

Results
- formation energy (no corrections) (meV per atom) = -1878

POSCAR file:
```
DyTh2S3
1.0
6.798 -0.012 -1.135
-3.655 5.731 -1.135
0.002 0.004 6.971
Dy Th S
2 4 6
Cartesian
6.800 -0.008 5.836
3.314 1.902 -1.135
5.057 0.947 2.350
-0.171 3.817 -1.135
-1.876 4.757 2.350
1.537 2.881 2.350
0.658 5.326 3.592
-0.998 2.312 1.108
4.053 3.354 3.591
0.829 1.403 4.726
2.487 0.504 1.109
2.405 4.271 -0.026
```



no.,DOS at the Fermi energy (states/eV/cell)
1,3.69
2,7.97